Entry 1:
NiHS after structural relaxation. Source: the Alexandria database, functional GGA-PBE.

Structure (POSCAR):
```
NiHS
1.0
2.918 -1.684 0.000
2.918 1.684 0.000
-1.966 0.000 9.685
Ni H S
2 2 2
direct
0.139 0.139 0.418
0.861 0.861 0.582
0.039 0.039 0.974
0.961 0.961 0.026
0.439 0.439 0.320
0.561 0.561 0.680
```

Computed properties:
As for the density of states at the Fermi level: 0.331 states/eV/atom. For the total DFT energy (no corrections), the calculation gives -27.36 eV for the cell shown.

=====

Entry 2:
YBe2InO after structural relaxation. Source: the Alexandria database, functional GGA-PBE.

Structure (POSCAR):
```
YBe2InO
1.0
4.178 0.000 0.000
0.000 4.178 0.000
0.000 0.000 6.234
Y Be In O
1 2 1 1
direct
0.000 0.000 0.000
0.000 0.500 0.500
0.500 0.000 0.500
0.000 0.000 0.500
0.500 0.500 0.000
```

Computed properties:
As for the density of states at the Fermi level: 0.000 states/eV/atom. The value obtained for the raw formation energy is 0.45 eV/atom.

=====

Which formula does entry 2 have? YBe2InO